Entry from Alexandria: TlCr2RhO8 after structural relaxation (PBE+U).

Lattice parameters (Å, degrees): 5.5051 5.5051 7.7026 90.00 90.00 120.00
Space group P-3m1 (No. 164)
Asymmetric unit:
Tl: 0.0000 0.0000 0.0000 [1 per cell]
Cr: 0.3333 0.6667 0.2760 [2 per cell]
Rh: 0.0000 0.0000 0.5000 [1 per cell]
O: 0.1647 0.3295 0.3414 [6 per cell]
O: 0.3333 0.6667 0.0641 [2 per cell]

Computed properties:
Volume: 202 Å³/cell
Theoretical density: 4.430 Mg/m³
Total DFT energy (no corrections): -6.40 eV/atom
Total magnetization: 0.00 μB/cell